DFT (PBE-GGA) results for an optimized crystal structure of AlPbW2.

Summary:
distance to the lowest polymorph of the same formula	547	meV/atom
N(E_F)	0.724	states/eV per atom
E	-29.6	eV/cell

Structure (CIF):
```
data_AlPbW2
_cell_length_a 4.6312
_cell_length_b 4.6312
_cell_length_c 3.2844
_cell_angle_alpha 90.00
_cell_angle_beta 90.00
_cell_angle_gamma 90.00
_symmetry_space_group_name_H-M 'P 4/m m m'
_symmetry_Int_Tables_number 123
_symmetry_space_group_name_Hall '-P 4 2'
loop_
_atom_site_label
_atom_site_type_symbol
_atom_site_fract_x
_atom_site_fract_y
_atom_site_fract_z
Al1 Al 0.0000 0.0000 0.0000
Pb1 Pb 0.5000 0.5000 0.0000
W1 W 0.0000 0.5000 0.5000
```

=====

DFT (PBE-GGA) results for an optimized crystal structure of ScAs2Ir.

Summary:
distance to the lowest polymorph of the same formula	227	meV/atom
N(E_F)	0.706	states/eV per atom
E	-52.4	eV/cell

Structure (CIF):
```
data_ScAs2Ir
_cell_length_a 4.0117
_cell_length_b 4.0117
_cell_length_c 8.4317
_cell_angle_alpha 90.00
_cell_angle_beta 90.00
_cell_angle_gamma 90.00
_symmetry_space_group_name_H-M 'I -4 m 2'
_symmetry_Int_Tables_number 119
_symmetry_space_group_name_Hall 'I -4 -2'
loop_
_atom_site_label
_atom_site_type_symbol
_atom_site_fract_x
_atom_site_fract_y
_atom_site_fract_z
Sc1 Sc 0.0000 0.0000 0.0000
As1 As 0.0000 0.0000 0.5000
As2 As 0.0000 0.5000 0.7500
Ir1 Ir 0.0000 0.5000 0.2500
```

=====

DFT (PBE-GGA) results for an optimized crystal structure of Tb3Pr6Y2Th.

Summary:
N(E_F)	1.376	states/eV per atom
E	-125.1	eV/cell

Structure (CIF):
```
data_Tb3Pr6Y2Th
_cell_length_a 6.3199
_cell_length_b 10.9387
_cell_length_c 12.0271
_cell_angle_alpha 90.00
_cell_angle_beta 100.11
_cell_angle_gamma 90.00
_symmetry_space_group_name_H-M 'C 1 2/m 1'
_symmetry_Int_Tables_number 12
_symmetry_space_group_name_Hall '-C 2y'
loop_
_atom_site_label
_atom_site_type_symbol
_atom_site_fract_x
_atom_site_fract_y
_atom_site_fract_z
Tb1 Tb 0.0000 0.0000 0.0000
Tb2 Tb 0.0000 0.3333 0.0000
Pr1 Pr 0.2457 0.5000 0.2505
Pr2 Pr 0.2481 0.3353 0.7500
Y1 Y 0.0000 0.1666 0.5000
Th1 Th 0.0000 0.5000 0.5000
```

=====

DFT (PBE-GGA) results for an optimized crystal structure of K3TlAu8.

Summary:
N(E_F)	0.454	states/eV per atom
E	-103.7	eV/cell

Structure (CIF):
```
data_K3TlAu8
_cell_length_a 5.8240
_cell_length_b 5.8240
_cell_length_c 28.2182
_cell_angle_alpha 90.00
_cell_angle_beta 90.00
_cell_angle_gamma 120.00
_symmetry_space_group_name_H-M 'R 3 m'
_symmetry_Int_Tables_number 160
_symmetry_space_group_name_Hall 'R 3 -2"'
loop_
_atom_site_label
_atom_site_type_symbol
_atom_site_fract_x
_atom_site_fract_y
_atom_site_fract_z
K1 K 0.0000 0.0000 0.0000
K2 K 0.0000 0.0000 0.1257
K3 K 0.0000 0.0000 0.6244
Tl1 Tl 0.0000 0.0000 0.5001
Au1 Au 0.0000 0.0000 0.3125
Au2 Au 0.0000 0.0000 0.8126
Au3 Au 0.0012 0.5006 0.0634
Au4 Au 0.1670 0.3341 0.8953
```

=====

Which formula does entry 4 have?
K3TlAu8

=====

Number 1 is which compound?
AlPbW2

=====

Repeat the first record exactly.
DFT (PBE-GGA) results for an optimized crystal structure of AlPbW2.

Summary:
distance to the lowest polymorph of the same formula	547	meV/atom
N(E_F)	0.724	states/eV per atom
E	-29.6	eV/cell

Structure (CIF):
```
data_AlPbW2
_cell_length_a 4.6312
_cell_length_b 4.6312
_cell_length_c 3.2844
_cell_angle_alpha 90.00
_cell_angle_beta 90.00
_cell_angle_gamma 90.00
_symmetry_space_group_name_H-M 'P 4/m m m'
_symmetry_Int_Tables_number 123
_symmetry_space_group_name_Hall '-P 4 2'
loop_
_atom_site_label
_atom_site_type_symbol
_atom_site_fract_x
_atom_site_fract_y
_atom_site_fract_z
Al1 Al 0.0000 0.0000 0.0000
Pb1 Pb 0.5000 0.5000 0.0000
W1 W 0.0000 0.5000 0.5000
```